Here is crystalline Sm4GePtS2 at its relaxed geometry from Alexandria via LeMat-Bulk. Energies are from PBE.

abc: 4.083 7.293 7.090
angles: 70.80 90.00 90.00
Fractional coordinates of all 8 atoms:
S 0.500 0.000 0.500
Ge 0.000 0.500 0.500
Sm 0.000 0.749 0.753
Sm 0.000 0.251 0.247
Sm 0.500 0.756 0.250
Pt 0.500 0.500 0.000
Sm 0.500 0.244 0.750
S 0.000 0.000 0.000

The calculation puts the density at 7.8 g/cm3. Its crystal system is monoclinic. The calculation puts the uncorrected formation energy at -1.459 eV per atom.

***

Here is crystalline Tb4GePtS2 at its relaxed geometry from Alexandria via LeMat-Bulk. Energies are from PBE.

abc: 4.003 7.198 6.930
angles: 70.92 90.00 90.00
Fractional coordinates of all 8 atoms:
S 0.000 0.000 0.000
Tb 0.500 0.755 0.249
Ge 0.000 0.500 0.500
Tb 0.500 0.245 0.751
Tb 0.000 0.749 0.754
Tb 0.000 0.251 0.246
Pt 0.500 0.500 0.000
S 0.500 0.000 0.500

The calculation puts the density at 8.5 g/cm3. Its crystal system is monoclinic. The calculation puts the uncorrected formation energy at -1.477 eV per atom.

***

Here is crystalline TcGePtS2 at its relaxed geometry from Alexandria via LeMat-Bulk. Energies are from PBE.

abc: 4.746 4.800 4.746
angles: 90.00 90.00 90.00
Fractional coordinates of all 5 atoms:
S 0.500 0.000 0.000
Tc 0.500 0.500 0.500
S 0.000 0.000 0.500
Ge 0.000 0.500 0.000
Pt 0.000 0.000 0.000

The calculation puts the density at 6.6 g/cm3. Its crystal system is tetragonal. The calculation puts the uncorrected formation energy at 0.993 eV per atom.

***

| no. | E_tot (eV/cell) |
| --- | --- |
| 1 | -49.5 |
| 2 | -49.3 |
| 3 | -24.3 |